(P)
VASP calculation (PBE) on a relaxed structure of Sn3Pb2.

Results
space group = C2/m, No. 12
total magnetization = 0.000 μB/atom
calculated volume = 31.064 A^3/atom

extended XYZ file:
```
10
Lattice="3.034 -7.389 0.000 3.034 7.389 0.000 -0.063 0.000 6.928" Properties=species:S:1:pos:R:3 pbc="T T T"
Sn -0.002 0.000 1.988
Sn 2.965 1.503 5.423
Sn 3.040 1.503 1.505
Sn 2.965 -1.503 5.423
Sn 3.040 -1.503 1.505
Sn 6.007 0.000 4.940
Pb 1.486 3.695 3.464
Pb 3.034 4.872 0.000
Pb 1.486 -3.695 3.464
Pb 3.034 -4.872 0.000
```

=====

(Q)
VASP calculation (PBE) on a relaxed structure of Sn3Pb2.

Results
space group = R-3c, No. 167
total magnetization = 0.000 μB/atom
calculated volume = 32.494 A^3/atom

extended XYZ file:
```
10
Lattice="4.031 2.327 5.772 -4.031 2.327 5.772 0.000 -4.655 5.772" Properties=species:S:1:pos:R:3 pbc="T T T"
Sn -0.940 -1.628 4.329
Sn -0.940 1.628 4.329
Sn 1.879 0.000 4.329
Sn -1.879 0.000 12.988
Sn 0.940 -1.628 12.988
Sn 0.940 1.628 12.988
Pb 0.000 0.000 1.638
Pb 0.000 0.000 7.020
Pb 0.000 0.000 10.297
Pb 0.000 0.000 15.679
```

=====

Of them, the most stable is (P) and the least stable is (Q).

=====

(P)
VASP calculation (PBE) on a relaxed structure of SnPb6.

Results
space group = P4/nbm, No. 125
total magnetization = 0.000 μB/atom
calculated volume = 32.942 A^3/atom

extended XYZ file:
```
14
Lattice="6.505 0.000 0.000 0.000 6.505 0.000 0.000 0.000 10.899" Properties=species:S:1:pos:R:3 pbc="T T T"
Sn 1.626 4.879 0.000
Sn 4.879 1.626 0.000
Pb 0.445 3.697 3.935
Pb 0.445 6.060 6.964
Pb 1.626 1.626 1.558
Pb 1.626 1.626 9.341
Pb 2.808 3.697 6.964
Pb 2.808 6.060 3.935
Pb 3.697 0.445 6.964
Pb 3.697 2.808 3.935
Pb 4.879 4.879 1.558
Pb 4.879 4.879 9.341
Pb 6.060 0.445 3.935
Pb 6.060 2.808 6.964
```

=====

(Q)
VASP calculation (PBE) on a relaxed structure of SnPb6.

Results
space group = P4/mmm, No. 123
total magnetization = 0.000 μB/atom
calculated volume = 33.071 A^3/atom

extended XYZ file:
```
7
Lattice="5.000 0.000 0.000 0.000 5.000 0.000 0.000 0.000 9.258" Properties=species:S:1:pos:R:3 pbc="T T T"
Sn 0.000 0.000 0.000
Pb 0.000 0.000 4.629
Pb 0.000 2.500 2.414
Pb 0.000 2.500 6.845
Pb 2.500 0.000 2.414
Pb 2.500 0.000 6.845
Pb 2.500 2.500 0.000
```

=====

(R)
VASP calculation (PBE) on a relaxed structure of SnPb6.

Results
space group = Im-3m, No. 229
total magnetization = 0.197 μB/atom
calculated volume = 44.599 A^3/atom

extended XYZ file:
```
7
Lattice="-4.274 4.274 4.274 4.274 -4.274 4.274 4.274 4.274 -4.274" Properties=species:S:1:pos:R:3 pbc="T T T"
Sn 0.000 0.000 0.000
Pb 4.274 2.137 0.000
Pb 4.274 0.000 2.137
Pb 2.137 4.274 0.000
Pb 2.137 0.000 4.274
Pb 0.000 4.274 2.137
Pb 0.000 2.137 4.274
```

=====

Of them, the most stable is (Q) and the least stable is (R).

=====

(P)
VASP calculation (PBE) on a relaxed structure of SrSn3Pb.

Results
space group = C2/m, No. 12
total magnetization = 0.000 μB/atom
calculated volume = 41.641 A^3/atom

extended XYZ file:
```
5
Lattice="4.370 -4.282 0.000 4.370 4.282 0.000 -4.143 0.000 5.564" Properties=species:S:1:pos:R:3 pbc="T T T"
Sr 0.000 0.000 0.000
Sn -2.071 0.000 2.782
Sn 0.114 2.141 2.782
Sn 0.114 -2.141 2.782
Pb 2.298 0.000 2.782
```

=====

(Q)
VASP calculation (PBE) on a relaxed structure of SrSn3Pb.

Results
space group = Pm-3m, No. 221
total magnetization = 0.000 μB/atom
calculated volume = 39.342 A^3/atom

extended XYZ file:
```
5
Lattice="5.816 0.000 0.000 0.000 5.816 0.000 0.000 0.000 5.816" Properties=species:S:1:pos:R:3 pbc="T T T"
Sr 0.000 0.000 0.000
Sn 0.000 2.908 2.908
Sn 2.908 0.000 2.908
Sn 2.908 2.908 0.000
Pb 2.908 2.908 2.908
```

=====

(R)
VASP calculation (PBE) on a relaxed structure of SrSn3Pb.

Results
space group = Pm-3m, No. 221
total magnetization = 0.000 μB/atom
calculated volume = 41.914 A^3/atom

extended XYZ file:
```
5
Lattice="5.940 0.000 0.000 0.000 5.940 0.000 0.000 0.000 5.940" Properties=species:S:1:pos:R:3 pbc="T T T"
Sr 0.000 0.000 0.000
Sn 0.000 0.000 2.970
Sn 0.000 2.970 0.000
Sn 2.970 0.000 0.000
Pb 2.970 2.970 2.970
```

=====

Of them, the most stable is (P) and the least stable is (R).

=====

(P)
VASP calculation (PBE) on a relaxed structure of Tb3Sn2Pb.

Results
space group = Immm, No. 71
total magnetization = 0.000 μB/atom
calculated volume = 28.729 A^3/atom

extended XYZ file:
```
6
Lattice="-2.220 2.278 8.523 2.220 -2.278 8.523 2.220 2.278 -8.523" Properties=species:S:1:pos:R:3 pbc="T T T"
Tb 0.000 0.000 0.000
Tb 2.220 0.000 5.548
Tb 0.000 2.278 2.976
Sn 2.220 0.000 2.446
Sn 0.000 2.278 6.077
Pb 0.000 0.000 8.523
```

=====

(Q)
VASP calculation (PBE) on a relaxed structure of Tb3Sn2Pb.

Results
space group = C2/c, No. 15
total magnetization = 0.000 μB/atom
calculated volume = 27.742 A^3/atom

extended XYZ file:
```
12
Lattice="8.422 -3.179 0.000 8.422 3.179 0.000 -1.189 0.000 6.218" Properties=species:S:1:pos:R:3 pbc="T T T"
Tb 7.530 2.426 4.663
Tb 5.084 0.762 2.499
Tb 4.490 -0.762 5.607
Tb 11.165 0.762 0.610
Tb 10.571 -0.762 3.719
Tb 8.125 -2.426 1.554
Sn 2.683 0.705 0.450
Sn 2.088 -0.705 3.559
Sn 13.567 0.705 2.658
Sn 12.972 -0.705 5.767
Pb 8.125 0.741 1.554
Pb 7.530 -0.741 4.663
```

=====

Of them, the most stable is (P) and the least stable is (Q).